1.
# CdOsPb2 PBEsol relaxed
# ΔE_f = 3.5 eV/f.u.
# Total magnetization = 0.0 μB per formula unit
# DOS at the Fermi energy = 2.715 states/eV/f.u.
# Uncorrected energy = -4.481 eV/atom
# Volume = 21.50 A^3/atom
data_CdOsPb2
_cell_length_a 3.5021
_cell_length_b 4.6608
_cell_length_c 5.2695
_cell_angle_alpha 90.00
_cell_angle_beta 90.00
_cell_angle_gamma 90.00
_symmetry_space_group_name_H-M 'P 1'
_symmetry_Int_Tables_number 1
loop_
_symmetry_equiv_pos_as_xyz
'x,y,z'
loop_
_atom_site_label
_atom_site_fract_x
_atom_site_fract_y
_atom_site_fract_z
Cd1 0.5000 0.5000 0.0000
Os1 0.0000 0.5000 0.5000
Pb1 0.5000 0.0000 0.5000
Pb2 0.0000 0.0000 0.0000

2.
# AgCO2 PBEsol relaxed
# Total magnetization = 0.0 μB per formula unit
# DOS at the Fermi energy = 0.913 states/eV/f.u.
# Uncorrected energy = -5.408 eV/atom
# Volume = 9.88 A^3/atom
# Raw formation energy = 176 kJ/mol of formula units
data_AgCO2
_cell_length_a 4.8132
_cell_length_b 4.8195
_cell_length_c 4.8132
_cell_angle_alpha 60.04
_cell_angle_beta 90.00
_cell_angle_gamma 119.96
_symmetry_space_group_name_H-M 'P 1'
_symmetry_Int_Tables_number 1
loop_
_symmetry_equiv_pos_as_xyz
'x,y,z'
loop_
_atom_site_label
_atom_site_fract_x
_atom_site_fract_y
_atom_site_fract_z
C1 0.5000 0.0000 0.5000
C2 0.2500 0.5000 0.2500
O1 0.3750 0.2500 0.3415
O2 0.8750 0.2500 0.4085
O3 0.4085 0.7500 0.3750
O4 0.3415 0.7500 0.8750
Ag1 0.0000 0.0000 0.0000
Ag2 0.7500 0.5000 0.7500

Which of these has the lowest DOS at the Fermi energy?
AgCO2